No. 1
Density functional theory data (GGA-PBE) for Y2Mg after structural relaxation.

Properties
As for the total magnetization: 0.00 μB per formula unit. The value obtained for the energy relative to the elements is 0.2983 eV/atom. Its symmetry is No. 227. Its energy is -0.3339 Ry/atom.

Geometry as extended XYZ:
```
6
Lattice="0.000 4.551 4.551 4.551 0.000 4.551 4.551 4.551 0.000" Properties=species:S:1:pos:R:3 pbc="T T T"
Y 0.000 0.000 0.000
Y 2.275 2.275 0.000
Y 2.275 0.000 2.275
Y 0.000 2.275 2.275
Mg 3.413 3.413 3.413
Mg 5.689 5.689 5.689
```


No. 2
Density functional theory data (GGA-PBE) for ZrHgIr2 after structural relaxation.

Properties
As for the total magnetization: 0.00 μB per formula unit. The value obtained for the energy relative to the elements is -0.3134 eV/atom. Its symmetry is No. 139. Its energy is -0.5113 Ry/atom.

Geometry as extended XYZ:
```
8
Lattice="4.265 0.000 0.000 0.000 4.265 0.000 0.000 0.000 7.678" Properties=species:S:1:pos:R:3 pbc="T T T"
Zr 0.000 0.000 0.000
Zr 2.132 2.132 3.839
Hg 0.000 0.000 3.839
Hg 2.132 2.132 0.000
Ir 0.000 2.132 1.919
Ir 0.000 2.132 5.758
Ir 2.132 0.000 1.919
Ir 2.132 0.000 5.758
```


No. 3
Density functional theory data (GGA-PBE) for ScInP2 after structural relaxation.

Properties
As for the total magnetization: 0.00 μB per formula unit. The value obtained for the energy relative to the elements is -0.3609 eV/atom. Its symmetry is No. 47. Its energy is -0.3920 Ry/atom.

Geometry as extended XYZ:
```
4
Lattice="3.520 0.000 0.000 0.000 4.473 0.000 0.000 0.000 4.641" Properties=species:S:1:pos:R:3 pbc="T T T"
Sc 0.000 0.000 0.000
In 0.000 2.236 2.320
P 1.760 0.000 2.320
P 1.760 2.236 0.000
```


No. 4
Density functional theory data (GGA-PBE) for PmCdP after structural relaxation.

Properties
As for the total magnetization: 0.00 μB per formula unit. The value obtained for the energy relative to the elements is -0.4528 eV/atom. Its symmetry is No. 107. Its energy is -0.3046 Ry/atom. The distance to the lowest polymorph of the same formula comes out at 193 meV/atom.

Geometry as extended XYZ:
```
6
Lattice="3.668 0.000 0.000 0.000 3.668 0.000 0.000 0.000 11.304" Properties=species:S:1:pos:R:3 pbc="T T T"
Pm 0.000 0.000 0.000
Pm 1.834 1.834 5.652
Cd 0.000 0.000 8.092
Cd 1.834 1.834 2.440
P 0.000 0.000 4.412
P 1.834 1.834 10.065
```


> total magnetization of number 4 (PmCdP)?

0.00 μB per formula unit


> Look up the total magnetization of the second one.

0.00 μB per formula unit


> Which formula does entry 2 have?

ZrHgIr2